w:
First-principles (GGA-PBE) data for a geometry-optimized Ta2SbPb structure, as listed in the Alexandria database.

The size of the total moment comes out at 0.000 μB/f.u.

Lattice parameters (Å, degrees): 5.169 5.169 5.171 84.35 84.35 39.62
Atoms (fractional coordinates):
Ta 0.505 0.505 0.463
Ta 0.995 0.995 0.037
Pb 0.750 0.750 0.750
Sb 0.250 0.250 0.250


x:
First-principles (GGA-PBE) data for a geometry-optimized Ta2SbPb structure, as listed in the Alexandria database.

The size of the total moment comes out at 0.000 μB/f.u.

Lattice parameters (Å, degrees): 9.490 9.490 9.490 19.58 19.58 19.58
Atoms (fractional coordinates):
Sb 0.750 0.750 0.750
Ta 0.003 0.003 0.003
Pb 0.250 0.250 0.250
Ta 0.497 0.497 0.497


The most stable arrangement is w, and the next structure is 0.029 eV/atom less stable.


w:
First-principles (GGA-PBE) data for a geometry-optimized Ta2SbPb structure, as listed in the Alexandria database.

The size of the total moment comes out at 0.000 μB/f.u.

Lattice parameters (Å, degrees): 5.526 5.985 3.157 79.80 79.06 119.40
Atoms (fractional coordinates):
Ta 0.000 0.000 0.000
Ta 0.000 0.500 0.500
Sb 0.500 0.000 0.500
Pb 0.500 0.500 0.000


x:
First-principles (GGA-PBE) data for a geometry-optimized Ta2SbPb structure, as listed in the Alexandria database.

The size of the total moment comes out at 0.000 μB/f.u.

Lattice parameters (Å, degrees): 4.622 3.516 5.703 72.06 90.00 90.00
Atoms (fractional coordinates):
Ta 0.000 0.203 0.968
Ta 0.500 0.051 0.272
Pb 0.000 0.477 0.421
Sb 0.500 0.768 0.838


y:
First-principles (GGA-PBE) data for a geometry-optimized Ta2SbPb structure, as listed in the Alexandria database.

The size of the total moment comes out at 0.000 μB/f.u.

Lattice parameters (Å, degrees): 3.151 3.151 9.141 90.00 90.00 110.31
Atoms (fractional coordinates):
Ta 0.000 0.000 0.513
Pb 0.500 0.500 0.250
Sb 0.500 0.500 0.750
Ta 0.000 0.000 0.987


z:
First-principles (GGA-PBE) data for a geometry-optimized Ta2SbPb structure, as listed in the Alexandria database.

The size of the total moment comes out at 0.000 μB/f.u.

Lattice parameters (Å, degrees): 3.062 3.062 10.742 90.00 90.00 106.23
Atoms (fractional coordinates):
Ta 0.500 0.500 0.216
Pb 0.000 0.000 0.452
Sb 0.500 0.500 0.813
Ta 0.000 0.000 0.019


The most stable arrangement is z, and the next structure is 0.193 eV/atom less stable.


w:
First-principles (GGA-PBE) data for a geometry-optimized Ta2SbPb structure, as listed in the Alexandria database.

The size of the total moment comes out at 0.000 μB/f.u.

Lattice parameters (Å, degrees): 3.611 5.142 4.566 90.00 90.00 90.00
Atoms (fractional coordinates):
Ta 0.500 0.500 0.000
Sb 0.000 0.500 0.500
Ta 0.000 0.000 0.000
Pb 0.500 0.000 0.500


x:
First-principles (GGA-PBE) data for a geometry-optimized Ta2SbPb structure, as listed in the Alexandria database.

The size of the total moment comes out at 0.000 μB/f.u.

Lattice parameters (Å, degrees): 3.394 3.394 7.210 90.00 90.00 90.00
Atoms (fractional coordinates):
Ta 0.000 0.000 0.978
Ta 0.000 0.000 0.522
Pb 0.500 0.500 0.250
Sb 0.500 0.500 0.750


The most stable arrangement is x, and the next structure is 0.118 eV/atom less stable.


w:
First-principles (GGA-PBE) data for a geometry-optimized TaSbPb structure, as listed in the Alexandria database.

The size of the total moment comes out at 0.000 μB/f.u.

Lattice parameters (Å, degrees): 8.502 8.502 8.502 159.00 159.00 29.87
Atoms (fractional coordinates):
Sb 0.301 0.301 0.000
Pb 0.027 0.027 0.000
Ta 0.672 0.672 0.000


x:
First-principles (GGA-PBE) data for a geometry-optimized TaSbPb structure, as listed in the Alexandria database.

The size of the total moment comes out at 0.005 μB/f.u.

Lattice parameters (Å, degrees): 4.864 4.864 4.864 60.00 60.00 60.00
Atoms (fractional coordinates):
Pb 0.000 0.000 0.000
Ta 0.750 0.750 0.750
Sb 0.500 0.500 0.500


y:
First-principles (GGA-PBE) data for a geometry-optimized TaSbPb structure, as listed in the Alexandria database.

The size of the total moment comes out at 0.000 μB/f.u.

Lattice parameters (Å, degrees): 5.094 5.094 3.126 90.00 90.00 120.00
Atoms (fractional coordinates):
Ta 0.667 0.333 0.500
Pb 0.000 0.000 0.000
Sb 0.333 0.667 0.500


The most stable arrangement is w, and the next structure is 0.142 eV/atom less stable.


w:
First-principles (GGA-PBE) data for a geometry-optimized TaSbPb structure, as listed in the Alexandria database.

The size of the total moment comes out at 0.000 μB/f.u.

Lattice parameters (Å, degrees): 8.766 8.606 3.120 82.56 76.77 20.67
Atoms (fractional coordinates):
Ta 0.672 0.672 0.328
Pb 0.027 0.027 0.973
Sb 0.301 0.301 0.699


x:
First-principles (GGA-PBE) data for a geometry-optimized TaSbPb structure, as listed in the Alexandria database.

The size of the total moment comes out at 0.000 μB/f.u.

Lattice parameters (Å, degrees): 3.219 3.219 8.783 90.00 90.00 120.00
Atoms (fractional coordinates):
Pb 0.000 0.000 0.948
Sb 0.667 0.333 0.395
Ta 0.333 0.667 0.656


The most stable arrangement is w, and the next structure is 0.033 eV/atom less stable.


w:
First-principles (GGA-PBE) data for a geometry-optimized TaSbPb3 structure, as listed in the Alexandria database.

The size of the total moment comes out at 3.051 μB/f.u.

Lattice parameters (Å, degrees): 5.761 5.761 5.761 90.00 90.00 90.00
Atoms (fractional coordinates):
Sb 0.000 0.000 0.000
Pb 0.500 0.000 0.000
Pb 0.000 0.500 0.000
Pb 0.000 0.000 0.500
Ta 0.500 0.500 0.500


x:
First-principles (GGA-PBE) data for a geometry-optimized TaSbPb3 structure, as listed in the Alexandria database.

The size of the total moment comes out at 0.000 μB/f.u.

Lattice parameters (Å, degrees): 5.534 5.534 5.534 90.00 90.00 90.00
Atoms (fractional coordinates):
Pb 0.000 0.000 0.500
Pb 0.500 0.000 0.000
Sb 0.500 0.500 0.500
Ta 0.000 0.000 0.000
Pb 0.000 0.500 0.000


The most stable arrangement is x, and the next structure is 0.873 eV/atom less stable.


w:
First-principles (GGA-PBE) data for a geometry-optimized Tb5Sb2Pb2 structure, as listed in the Alexandria database.

The size of the total moment comes out at 0.000 μB/f.u.

Lattice parameters (Å, degrees): 8.283 8.258 8.779 118.06 90.00 90.00
Atoms (fractional coordinates):
Tb 0.161 0.472 0.269
Sb 0.142 0.641 0.000
Pb 0.500 0.297 0.593
Tb 0.661 0.297 0.269
Tb 0.000 0.000 0.000
Tb 0.339 0.972 0.269
Tb 0.839 0.528 0.731
Sb 0.642 0.859 0.000
Pb 0.500 0.703 0.407
Tb 0.500 0.500 0.000
Tb 0.339 0.703 0.731
Pb 0.000 0.203 0.407
Pb 0.000 0.797 0.593
Sb 0.858 0.359 0.000
Tb 0.661 0.028 0.731
Tb 0.839 0.797 0.269
Tb 0.161 0.203 0.731
Sb 0.358 0.141 0.000


x:
First-principles (GGA-PBE) data for a geometry-optimized Tb5Sb2Pb2 structure, as listed in the Alexandria database.

The size of the total moment comes out at 0.001 μB/f.u.

Lattice parameters (Å, degrees): 8.272 8.229 8.794 117.90 90.00 90.00
Atoms (fractional coordinates):
Sb 0.000 0.201 0.403
Tb 0.338 0.972 0.275
Tb 0.162 0.197 0.725
Pb 0.639 0.861 0.000
Tb 0.162 0.472 0.275
Sb 0.500 0.299 0.597
Tb 0.500 0.500 0.000
Tb 0.838 0.528 0.725
Tb 0.000 0.000 0.000
Tb 0.662 0.303 0.275
Pb 0.139 0.639 0.000
Sb 0.000 0.799 0.597
Tb 0.662 0.028 0.725
Tb 0.838 0.803 0.275
Sb 0.500 0.701 0.403
Pb 0.861 0.361 0.000
Pb 0.361 0.139 0.000
Tb 0.338 0.697 0.725


The most stable arrangement is x, and the next structure is 0.014 eV/atom less stable.


w:
First-principles (GGA-PBE) data for a geometry-optimized Tc2Sb2Pb structure, as listed in the Alexandria database.

The size of the total moment comes out at 0.000 μB/f.u.

Lattice parameters (Å, degrees): 4.703 4.703 6.175 67.61 67.61 90.00
Atoms (fractional coordinates):
Pb 0.000 0.000 0.000
Tc 0.750 0.250 0.500
Sb 0.361 0.361 0.278
Sb 0.639 0.639 0.722
Tc 0.250 0.750 0.500


x:
First-principles (GGA-PBE) data for a geometry-optimized Tc2Sb2Pb structure, as listed in the Alexandria database.

The size of the total moment comes out at 0.000 μB/f.u.

Lattice parameters (Å, degrees): 7.918 7.918 3.208 90.00 90.00 90.00
Atoms (fractional coordinates):
Tc 0.645 0.145 0.000
Pb 0.000 0.000 0.000
Pb 0.500 0.500 0.000
Sb 0.355 0.145 0.500
Tc 0.145 0.355 0.000
Tc 0.355 0.855 0.000
Sb 0.145 0.645 0.500
Sb 0.855 0.355 0.500
Sb 0.645 0.855 0.500
Tc 0.855 0.645 0.000


The most stable arrangement is x, and the next structure is 0.041 eV/atom less stable.


w:
First-principles (GGA-PBE) data for a geometry-optimized SbTe3Pb structure, as listed in the Alexandria database.

The size of the total moment comes out at 0.000 μB/f.u.

Lattice parameters (Å, degrees): 5.785 5.785 5.785 90.00 90.00 90.00
Atoms (fractional coordinates):
Te 0.000 0.500 0.000
Sb 0.500 0.500 0.500
Pb 0.000 0.000 0.000
Te 0.000 0.000 0.500
Te 0.500 0.000 0.000


x:
First-principles (GGA-PBE) data for a geometry-optimized SbTe3Pb structure, as listed in the Alexandria database.

The size of the total moment comes out at 0.000 μB/f.u.

Lattice parameters (Å, degrees): 5.738 5.738 5.738 90.00 90.00 90.00
Atoms (fractional coordinates):
Te 0.000 0.500 0.000
Sb 0.000 0.000 0.000
Pb 0.500 0.500 0.500
Te 0.500 0.000 0.000
Te 0.000 0.000 0.500


y:
First-principles (GGA-PBE) data for a geometry-optimized SbTe3Pb structure, as listed in the Alexandria database.

The size of the total moment comes out at 0.000 μB/f.u.

Lattice parameters (Å, degrees): 5.690 7.268 11.550 109.54 90.00 90.00
Atoms (fractional coordinates):
Te 0.750 0.983 0.123
Sb 0.250 0.127 0.652
Te 0.750 0.460 0.254
Pb 0.250 0.242 0.172
Te 0.750 0.989 0.633
Te 0.250 0.011 0.367
Te 0.250 0.540 0.746
Te 0.250 0.017 0.877
Sb 0.750 0.873 0.348
Pb 0.750 0.758 0.828


The most stable arrangement is y, and the next structure is 0.318 eV/atom less stable.


w:
First-principles (GGA-PBE) data for a geometry-optimized SbTePb structure, as listed in the Alexandria database.

The size of the total moment comes out at 0.000 μB/f.u.

Lattice parameters (Å, degrees): 6.198 6.198 6.198 139.01 139.45 59.03
Atoms (fractional coordinates):
Pb 0.999 0.999 0.000
Sb 0.633 0.633 0.000
Te 0.368 0.368 0.000


x:
First-principles (GGA-PBE) data for a geometry-optimized SbTePb structure, as listed in the Alexandria database.

The size of the total moment comes out at 0.000 μB/f.u.

Lattice parameters (Å, degrees): 9.203 9.203 9.203 159.58 159.58 29.04
Atoms (fractional coordinates):
Pb 0.995 0.995 0.000
Sb 0.351 0.351 0.000
Te 0.654 0.654 0.000


The most stable arrangement is w, and the next structure is 0.097 eV/atom less stable.


w:
First-principles (GGA-PBE) data for a geometry-optimized SbTePb structure, as listed in the Alexandria database.

The size of the total moment comes out at 0.000 μB/f.u.

Lattice parameters (Å, degrees): 9.253 9.178 3.272 81.07 78.48 20.45
Atoms (fractional coordinates):
Te 0.346 0.346 0.654
Sb 0.649 0.649 0.351
Pb 0.005 0.005 0.995


x:
First-principles (GGA-PBE) data for a geometry-optimized SbTePb structure, as listed in the Alexandria database.

The size of the total moment comes out at 0.000 μB/f.u.

Lattice parameters (Å, degrees): 4.499 4.499 5.574 90.00 90.00 120.00
Atoms (fractional coordinates):
Te 0.333 0.667 0.662
Pb 0.000 0.000 0.009
Sb 0.667 0.333 0.328


y:
First-principles (GGA-PBE) data for a geometry-optimized SbTePb structure, as listed in the Alexandria database.

The size of the total moment comes out at 0.000 μB/f.u.

Lattice parameters (Å, degrees): 4.446 4.446 13.143 70.10 70.10 59.88
Atoms (fractional coordinates):
Te 0.547 0.547 0.900
Te 0.081 0.081 0.601
Sb 0.559 0.559 0.377
Pb 0.977 0.977 0.250
Sb 0.324 0.324 0.735
Pb 0.772 0.772 0.060


z:
First-principles (GGA-PBE) data for a geometry-optimized SbTePb structure, as listed in the Alexandria database.

The size of the total moment comes out at 0.000 μB/f.u.

Lattice parameters (Å, degrees): 5.837 5.837 3.166 90.00 90.00 120.00
Atoms (fractional coordinates):
Sb 0.667 0.333 0.383
Pb 0.000 0.000 0.246
Te 0.333 0.667 0.371


The most stable arrangement is y, and the next structure is 0.076 eV/atom less stable.